[1]
# PBE NdDy3Ir8, optimized geometry
# VASP energy	-8.2352	eV per atom
# energy of formation from the pure elements	-0.780	eV per atom
# energy relative to the lowest polymorph listed for this composition	0	meV per atom
data_NdDy3Ir8
_chemical_formula_sum 'Nd1 Dy3 Ir8'
_space_group_name_H-M_alt 'P 1'
_space_group_IT_number 1
_space_group_name_Hall 'P 1'
_cell_length_a 9.314
_cell_length_b 9.314
_cell_length_c 9.314
_cell_angle_alpha 33.58
_cell_angle_beta 33.58
_cell_angle_gamma 33.58
loop_
_atom_site_label
_atom_site_type_symbol
_atom_site_fract_x
_atom_site_fract_y
_atom_site_fract_z
Nd1 Nd 0.000 0.000 0.000
Dy1 Dy 0.125 0.125 0.125
Dy2 Dy 0.500 0.500 0.500
Dy3 Dy 0.624 0.624 0.624
Ir1 Ir 0.062 0.062 0.561
Ir2 Ir 0.062 0.561 0.062
Ir3 Ir 0.064 0.563 0.563
Ir4 Ir 0.312 0.312 0.312
Ir5 Ir 0.561 0.062 0.062
Ir6 Ir 0.563 0.064 0.563
Ir7 Ir 0.563 0.563 0.064
Ir8 Ir 0.812 0.812 0.812



[2]
# PBE Nd2DyIr2, optimized geometry
# VASP energy	-6.9962	eV per atom
# energy of formation from the pure elements	-0.624	eV per atom
data_Nd2DyIr2
_chemical_formula_sum 'Nd4 Dy2 Ir4'
_space_group_name_H-M_alt 'P 1'
_space_group_IT_number 1
_space_group_name_Hall 'P 1'
_cell_length_a 6.596
_cell_length_b 6.596
_cell_length_c 11.185
_cell_angle_alpha 118.50
_cell_angle_beta 118.50
_cell_angle_gamma 36.66
loop_
_atom_site_label
_atom_site_type_symbol
_atom_site_fract_x
_atom_site_fract_y
_atom_site_fract_z
Nd1 Nd 0.039 0.039 0.196
Nd2 Nd 0.170 0.170 0.588
Nd3 Nd 0.830 0.830 0.412
Nd4 Nd 0.961 0.961 0.804
Dy1 Dy 0.296 0.296 0.134
Dy2 Dy 0.704 0.704 0.866
Ir1 Ir 0.373 0.373 0.928
Ir2 Ir 0.476 0.476 0.609
Ir3 Ir 0.524 0.524 0.391
Ir4 Ir 0.627 0.627 0.072



[3]
# PBE NdDyIr4, optimized geometry
# VASP energy	-8.2160	eV per atom
# energy of formation from the pure elements	-0.747	eV per atom
data_NdDyIr4
_chemical_formula_sum 'Nd1 Dy1 Ir4'
_space_group_name_H-M_alt 'P 1'
_space_group_IT_number 1
_space_group_name_Hall 'P 1'
_cell_length_a 5.401
_cell_length_b 5.401
_cell_length_c 5.401
_cell_angle_alpha 60.00
_cell_angle_beta 60.00
_cell_angle_gamma 60.00
loop_
_atom_site_label
_atom_site_type_symbol
_atom_site_fract_x
_atom_site_fract_y
_atom_site_fract_z
Nd1 Nd 0.000 0.000 0.000
Dy1 Dy 0.250 0.250 0.250
Ir1 Ir 0.125 0.625 0.625
Ir2 Ir 0.625 0.125 0.625
Ir3 Ir 0.625 0.625 0.125
Ir4 Ir 0.625 0.625 0.625



[4]
# PBE NdDyIr2, optimized geometry
# VASP energy	-7.4573	eV per atom
# energy of formation from the pure elements	-0.684	eV per atom
# energy relative to the lowest polymorph listed for this composition	0	meV per atom
data_NdDyIr2
_chemical_formula_sum 'Nd1 Dy1 Ir2'
_space_group_name_H-M_alt 'P 1'
_space_group_IT_number 1
_space_group_name_Hall 'P 1'
_cell_length_a 4.205
_cell_length_b 5.731
_cell_length_c 5.731
_cell_angle_alpha 41.08
_cell_angle_beta 90.00
_cell_angle_gamma 90.00
loop_
_atom_site_label
_atom_site_type_symbol
_atom_site_fract_x
_atom_site_fract_y
_atom_site_fract_z
Nd1 Nd 0.000 0.000 0.000
Dy1 Dy 0.500 0.708 0.708
Ir1 Ir 0.000 0.273 0.273
Ir2 Ir 0.500 0.426 0.426



[5]
# PBE Nd2DyIr9, optimized geometry
# VASP energy	-8.3438	eV per atom
# energy of formation from the pure elements	-0.520	eV per atom
data_Nd2DyIr9
_chemical_formula_sum 'Nd2 Dy1 Ir9'
_space_group_name_H-M_alt 'P 1'
_space_group_IT_number 1
_space_group_name_Hall 'P 1'
_cell_length_a 9.402
_cell_length_b 9.402
_cell_length_c 9.402
_cell_angle_alpha 33.04
_cell_angle_beta 33.04
_cell_angle_gamma 33.04
loop_
_atom_site_label
_atom_site_type_symbol
_atom_site_fract_x
_atom_site_fract_y
_atom_site_fract_z
Nd1 Nd 0.139 0.139 0.139
Nd2 Nd 0.861 0.861 0.861
Dy1 Dy 0.000 0.000 0.000
Ir1 Ir 0.083 0.579 0.579
Ir2 Ir 0.332 0.332 0.332
Ir3 Ir 0.421 0.421 0.917
Ir4 Ir 0.421 0.917 0.421
Ir5 Ir 0.500 0.500 0.500
Ir6 Ir 0.579 0.083 0.579
Ir7 Ir 0.579 0.579 0.083
Ir8 Ir 0.668 0.668 0.668
Ir9 Ir 0.917 0.421 0.421



[6]
# PBE NdDy2Ir, optimized geometry
# VASP energy	-5.8898	eV per atom
# energy of formation from the pure elements	-0.182	eV per atom
# energy relative to the lowest polymorph listed for this composition	356	meV per atom
data_NdDy2Ir
_chemical_formula_sum 'Nd1 Dy2 Ir1'
_space_group_name_H-M_alt 'P 1'
_space_group_IT_number 1
_space_group_name_Hall 'P 1'
_cell_length_a 10.774
_cell_length_b 10.774
_cell_length_c 10.774
_cell_angle_alpha 20.36
_cell_angle_beta 20.36
_cell_angle_gamma 20.36
loop_
_atom_site_label
_atom_site_type_symbol
_atom_site_fract_x
_atom_site_fract_y
_atom_site_fract_z
Nd1 Nd 0.000 0.000 0.000
Dy1 Dy 0.115 0.115 0.115
Dy2 Dy 0.885 0.885 0.885
Ir1 Ir 0.500 0.500 0.500



[7]
# PBE NdDy3Ir, optimized geometry
# VASP energy	-5.8388	eV per atom
# energy of formation from the pure elements	-0.352	eV per atom
# energy relative to the lowest polymorph listed for this composition	0	meV per atom
data_NdDy3Ir
_chemical_formula_sum 'Nd4 Dy12 Ir4'
_space_group_name_H-M_alt 'P 1'
_space_group_IT_number 1
_space_group_name_Hall 'P 1'
_cell_length_a 7.943
_cell_length_b 7.428
_cell_length_c 10.148
_cell_angle_alpha 90.00
_cell_angle_beta 106.77
_cell_angle_gamma 90.00
loop_
_atom_site_label
_atom_site_type_symbol
_atom_site_fract_x
_atom_site_fract_y
_atom_site_fract_z
Nd1 Nd 0.188 0.043 0.255
Nd2 Nd 0.188 0.457 0.755
Nd3 Nd 0.812 0.543 0.245
Nd4 Nd 0.812 0.957 0.745
Dy1 Dy 0.073 0.706 0.029
Dy2 Dy 0.073 0.794 0.529
Dy3 Dy 0.290 0.510 0.381
Dy4 Dy 0.290 0.990 0.881
Dy5 Dy 0.410 0.127 0.605
Dy6 Dy 0.410 0.373 0.105
Dy7 Dy 0.590 0.627 0.895
Dy8 Dy 0.590 0.873 0.395
Dy9 Dy 0.710 0.010 0.119
Dy10 Dy 0.710 0.490 0.619
Dy11 Dy 0.927 0.206 0.471
Dy12 Dy 0.927 0.294 0.971
Ir1 Ir 0.442 0.744 0.606
Ir2 Ir 0.442 0.756 0.106
Ir3 Ir 0.558 0.244 0.894
Ir4 Ir 0.558 0.256 0.394



[8]
# PBE NdDyIr2, optimized geometry
# VASP energy	-7.4340	eV per atom
# energy of formation from the pure elements	-0.661	eV per atom
# energy relative to the lowest polymorph listed for this composition	23	meV per atom
data_NdDyIr2
_chemical_formula_sum 'Nd1 Dy1 Ir2'
_space_group_name_H-M_alt 'P 1'
_space_group_IT_number 1
_space_group_name_Hall 'P 1'
_cell_length_a 4.935
_cell_length_b 4.935
_cell_length_c 4.935
_cell_angle_alpha 60.00
_cell_angle_beta 60.00
_cell_angle_gamma 60.00
loop_
_atom_site_label
_atom_site_type_symbol
_atom_site_fract_x
_atom_site_fract_y
_atom_site_fract_z
Nd1 Nd 0.000 0.000 0.000
Dy1 Dy 0.500 0.500 0.500
Ir1 Ir 0.250 0.250 0.250
Ir2 Ir 0.750 0.750 0.750



[9]
# PBE NdDy3Ir8, optimized geometry
# VASP energy	-8.2294	eV per atom
# energy of formation from the pure elements	-0.774	eV per atom
# energy relative to the lowest polymorph listed for this composition	6	meV per atom
data_NdDy3Ir8
_chemical_formula_sum 'Nd1 Dy3 Ir8'
_space_group_name_H-M_alt 'P 1'
_space_group_IT_number 1
_space_group_name_Hall 'P 1'
_cell_length_a 5.383
_cell_length_b 5.383
_cell_length_c 8.750
_cell_angle_alpha 90.00
_cell_angle_beta 90.00
_cell_angle_gamma 120.00
loop_
_atom_site_label
_atom_site_type_symbol
_atom_site_fract_x
_atom_site_fract_y
_atom_site_fract_z
Nd1 Nd 0.000 0.000 0.000
Dy1 Dy 0.000 0.000 0.366
Dy2 Dy 0.667 0.333 0.499
Dy3 Dy 0.667 0.333 0.863
Ir1 Ir 0.164 0.328 0.680
Ir2 Ir 0.164 0.836 0.680
Ir3 Ir 0.333 0.667 0.432
Ir4 Ir 0.333 0.667 0.932
Ir5 Ir 0.503 0.006 0.185
Ir6 Ir 0.503 0.497 0.185
Ir7 Ir 0.672 0.836 0.680
Ir8 Ir 0.994 0.497 0.185



[10]
# PBE Nd2Dy3Ir2, optimized geometry
# VASP energy	-6.4509	eV per atom
# energy of formation from the pure elements	-0.585	eV per atom
data_Nd2Dy3Ir2
_chemical_formula_sum 'Nd2 Dy3 Ir2'
_space_group_name_H-M_alt 'P 1'
_space_group_IT_number 1
_space_group_name_Hall 'P 1'
_cell_length_a 6.446
_cell_length_b 6.446
_cell_length_c 9.064
_cell_angle_alpha 115.55
_cell_angle_beta 115.55
_cell_angle_gamma 34.64
loop_
_atom_site_label
_atom_site_type_symbol
_atom_site_fract_x
_atom_site_fract_y
_atom_site_fract_z
Nd1 Nd 0.166 0.166 0.306
Nd2 Nd 0.834 0.834 0.694
Dy1 Dy 0.380 0.380 0.070
Dy2 Dy 0.500 0.500 0.500
Dy3 Dy 0.620 0.620 0.930
Ir1 Ir 0.173 0.173 0.741
Ir2 Ir 0.827 0.827 0.259



[11]
# PBE Nd3DyIr2, optimized geometry
# VASP energy	-6.6776	eV per atom
# energy of formation from the pure elements	-0.573	eV per atom
data_Nd3DyIr2
_chemical_formula_sum 'Nd6 Dy2 Ir4'
_space_group_name_H-M_alt 'P 1'
_space_group_IT_number 1
_space_group_name_Hall 'P 1'
_cell_length_a 8.563
_cell_length_b 8.563
_cell_length_c 11.045
_cell_angle_alpha 115.05
_cell_angle_beta 115.05
_cell_angle_gamma 29.61
loop_
_atom_site_label
_atom_site_type_symbol
_atom_site_fract_x
_atom_site_fract_y
_atom_site_fract_z
Nd1 Nd 0.052 0.052 0.226
Nd2 Nd 0.213 0.213 0.599
Nd3 Nd 0.335 0.335 0.980
Nd4 Nd 0.665 0.665 0.020
Nd5 Nd 0.787 0.787 0.401
Nd6 Nd 0.948 0.948 0.774
Dy1 Dy 0.427 0.427 0.338
Dy2 Dy 0.573 0.573 0.662
Ir1 Ir 0.139 0.139 0.834
Ir2 Ir 0.384 0.384 0.577
Ir3 Ir 0.616 0.616 0.423
Ir4 Ir 0.861 0.861 0.166



[12]
# PBE Nd3Dy2Ir2, optimized geometry
# VASP energy	-6.4170	eV per atom
# energy of formation from the pure elements	-0.527	eV per atom
data_Nd3Dy2Ir2
_chemical_formula_sum 'Nd3 Dy2 Ir2'
_space_group_name_H-M_alt 'P 1'
_space_group_IT_number 1
_space_group_name_Hall 'P 1'
_cell_length_a 6.453
_cell_length_b 6.453
_cell_length_c 8.939
_cell_angle_alpha 113.68
_cell_angle_beta 113.68
_cell_angle_gamma 35.61
loop_
_atom_site_label
_atom_site_type_symbol
_atom_site_fract_x
_atom_site_fract_y
_atom_site_fract_z
Nd1 Nd 0.000 0.000 0.000
Nd2 Nd 0.116 0.116 0.427
Nd3 Nd 0.884 0.884 0.573
Dy1 Dy 0.328 0.328 0.187
Dy2 Dy 0.672 0.672 0.813
Ir1 Ir 0.315 0.315 0.764
Ir2 Ir 0.685 0.685 0.236



Question: The lowest VASP energy belongs to which entry?
Answer: Nd2DyIr9